Material: SrLi2Ag
Method: DFT, PBE
State: relaxed

a = 6.174 Å, b = 7.972 Å, c = 16.863 Å
α = 90.00°, β = 90.00°, γ = 90.00°
Fractional coordinates of all 32 atoms:
Sr 0.478 0.250 0.138
Sr 0.978 0.750 0.362
Sr 0.522 0.750 0.862
Sr 0.022 0.250 0.638
Sr 0.764 0.250 0.394
Sr 0.264 0.750 0.106
Sr 0.236 0.750 0.606
Sr 0.736 0.250 0.894
Li 0.965 0.058 0.210
Li 0.465 0.942 0.290
Li 0.035 0.558 0.790
Li 0.535 0.442 0.710
Li 0.035 0.942 0.790
Li 0.535 0.058 0.710
Li 0.965 0.442 0.210
Li 0.465 0.558 0.290
Li 0.787 0.563 0.044
Li 0.287 0.437 0.456
Li 0.213 0.063 0.956
Li 0.713 0.937 0.544
Li 0.213 0.437 0.956
Li 0.713 0.563 0.544
Li 0.787 0.937 0.044
Li 0.287 0.063 0.456
Ag 0.243 0.250 0.314
Ag 0.743 0.750 0.186
Ag 0.757 0.750 0.686
Ag 0.257 0.250 0.814
Ag 0.985 0.250 0.070
Ag 0.485 0.750 0.430
Ag 0.015 0.750 0.930
Ag 0.515 0.250 0.570

Output
SG: Pnma, No. 62
ΔH_f (0 K): -0.16 eV/atom
calculated total energy: -2.249 eV/atom